Entry 1:
The following is a PBE calculation of crystalline V2IBr at its relaxed geometry, from the Alexandria database.

a = 4.7426 Å, b = 4.7426 Å, c = 4.7426 Å
α = 60.00°, β = 60.00°, γ = 60.00°
Last column: nearest neighbours and their distance in Å.
Fractional coordinates of all 4 atoms:
V1 0.2500 0.2500 0.2500  4 Br 2.90, 4 I 2.90
V2 0.7500 0.7500 0.7500  4 Br 2.90, 4 I 2.90
I1 0.0000 0.0000 0.0000  8 V 2.90
Br1 0.5000 0.5000 0.5000  8 V 2.90

Summary:
* space group: No. 225
* relative energy among the computed polymorphs: 140 meV per atom

***

Entry 2:
The following is a PBE calculation of crystalline VI3Br at its relaxed geometry, from the Alexandria database.

a = 5.4742 Å, b = 5.4742 Å, c = 5.4742 Å
α = 90.00°, β = 90.00°, γ = 90.00°
Last column: nearest neighbours and their distance in Å.
Fractional coordinates of all 5 atoms:
V1 0.0000 0.0000 0.0000  6 I 2.74
I1 0.0000 0.0000 0.5000  2 V 2.74
I2 0.0000 0.5000 0.0000  2 V 2.74
I3 0.5000 0.0000 0.0000  2 V 2.74
Br1 0.5000 0.5000 0.5000  12 I 3.87

Summary:
* space group: No. 221
* relative energy among the computed polymorphs: 469 meV per atom

***

Entry 3:
The following is a PBE calculation of crystalline VIBr3 at its relaxed geometry, from the Alexandria database.

a = 7.1908 Å, b = 7.6267 Å, c = 7.4658 Å
α = 90.00°, β = 113.57°, γ = 90.00°
Last column: nearest neighbours and their distance in Å.
Fractional coordinates of all 10 atoms:
V1 0.0008 0.2500 0.0010  3 Br 2.37-2.47, 1 I 2.61
V2 0.9992 0.7500 0.9990  3 Br 2.37-2.47, 1 I 2.61
I1 0.1596 0.2500 0.7417  1 V 2.61
I2 0.8404 0.7500 0.2583  1 V 2.61
Br1 0.2228 0.0182 0.2105  2 V 2.47-2.69
Br2 0.2228 0.4818 0.2105  2 V 2.47-2.69
Br3 0.2338 0.7500 0.8493  1 V 2.37
Br4 0.7662 0.2500 0.1507  1 V 2.37
Br5 0.7772 0.5182 0.7895  2 V 2.47-2.69
Br6 0.7772 0.9818 0.7895  2 V 2.47-2.69

Summary:
* space group: No. 11
* relative energy among the computed polymorphs: 59 meV per atom

***

Entry 4:
The following is a PBE calculation of crystalline V2IBr at its relaxed geometry, from the Alexandria database.

a = 8.6588 Å, b = 8.6588 Å, c = 8.6588 Å
α = 143.59°, β = 143.59°, γ = 52.44°
Last column: nearest neighbours and their distance in Å.
Fractional coordinates of all 8 atoms:
V1 0.0528 0.6250 0.9278  2 Br 2.55
V2 0.3750 0.3028 0.4278  2 Br 2.55
V3 0.6972 0.1250 0.0722  2 Br 2.55
V4 0.8750 0.9472 0.5722  2 Br 2.55
I1 0.2500 0.7500 0.5000  4 V 2.94
I2 0.5000 0.5000 0.0000  4 V 2.94
Br1 0.0000 0.0000 0.0000  4 V 2.55
Br2 0.7500 0.2500 0.5000  4 V 2.55

Summary:
* space group: No. 122
* relative energy among the computed polymorphs: 0 meV per atom

***

Entry 5:
The following is a PBE calculation of crystalline WIBr at its relaxed geometry, from the Alexandria database.

a = 8.3187 Å, b = 8.3187 Å, c = 7.9942 Å
α = 105.38°, β = 105.38°, γ = 23.85°
Last column: nearest neighbours and their distance in Å.
Fractional coordinates of all 6 atoms:
W1 0.1919 0.1919 0.4952  1 Br 2.42, 2 W 2.54
W2 0.8081 0.8081 0.5048  1 Br 2.42, 2 W 2.54
I1 0.3563 0.3563 0.2689  2 W 2.82
I2 0.6437 0.6437 0.7311  2 W 2.82
Br1 0.1045 0.1045 0.1974  1 W 2.42
Br2 0.8955 0.8955 0.8026  1 W 2.42

Summary:
* space group: No. 12
* relative energy among the computed polymorphs: 0 meV per atom

***

Entry 6:
The following is a PBE calculation of crystalline W2IBr4 at its relaxed geometry, from the Alexandria database.

a = 10.7384 Å, b = 7.2764 Å, c = 10.0251 Å
α = 74.85°, β = 40.85°, γ = 64.30°
Last column: nearest neighbours and their distance in Å.
Fractional coordinates of all 14 atoms:
W1 0.0161 0.9839 0.1077  1 W 2.37, 2 Br 2.57-2.63
W2 0.1423 0.3577 0.2339  1 W 2.37, 2 Br 2.57-2.63
W3 0.3577 0.1423 0.2661  1 W 2.37, 2 Br 2.57-2.63
W4 0.9839 0.0161 0.8923  1 W 2.37, 2 Br 2.57-2.63
I1 0.2103 0.2103 0.7897  2 W 2.72
I2 0.4603 0.4603 0.0397  2 W 2.72
Br1 0.2032 0.6381 0.9055  2 W 2.57-2.79
Br2 0.2888 0.8411 0.4981  2 W 2.63-2.72
Br3 0.3445 0.9968 0.0468  2 W 2.57-2.79
Br4 0.6381 0.2032 0.2532  2 W 2.57-2.79
Br5 0.7519 0.8780 0.9612  2 W 2.63-2.72
Br6 0.8411 0.2888 0.3720  2 W 2.63-2.72
Br7 0.8780 0.7519 0.4089  2 W 2.63-2.72
Br8 0.9968 0.3445 0.6119  2 W 2.57-2.79

Summary:
* raw total energy: -4.852 eV/atom
* space group: No. 43